(1)
Material: LuCuGe2
Method: DFT, GGA-PBE
State: relaxed

abc: 8.652 8.652 8.652
angles: 21.53 21.53 21.53
Atoms (fractional coordinates):
Lu 0.000 0.000 0.000
Cu 0.500 0.500 0.500
Ge 0.238 0.238 0.238
Ge 0.762 0.762 0.762

The density of states at the Fermi level is 1.02 states/eV/atom. As for the total energy: -4.43 eV per atom. The value obtained for the formation energy is 0.029 eV per atom. The size of the total moment is 0.0 μB per formula unit.

***

(2)
Material: Lu2CuGe
Method: DFT, GGA-PBE
State: relaxed

abc: 4.772 4.772 3.587
angles: 90.00 90.00 90.00
Atoms (fractional coordinates):
Lu 0.000 0.500 0.000
Lu 0.500 0.000 0.000
Cu 0.000 0.000 0.500
Ge 0.500 0.500 0.500

The density of states at the Fermi level is 0.76 states/eV/atom. As for the total energy: -4.92 eV per atom. The value obtained for the formation energy is -0.485 eV per atom. The size of the total moment is 0.0 μB per formula unit.

***

Copy entry 2 word for word.
Material: Lu2CuGe
Method: DFT, GGA-PBE
State: relaxed

abc: 4.772 4.772 3.587
angles: 90.00 90.00 90.00
Atoms (fractional coordinates):
Lu 0.000 0.500 0.000
Lu 0.500 0.000 0.000
Cu 0.000 0.000 0.500
Ge 0.500 0.500 0.500

The density of states at the Fermi level is 0.76 states/eV/atom. As for the total energy: -4.92 eV per atom. The value obtained for the formation energy is -0.485 eV per atom. The size of the total moment is 0.0 μB per formula unit.